[1]
Material: TmSc2Re
Method: DFT, GGA-PBE
State: relaxed

Results
* electronic total energy: -7.378 eV/atom
* distance to the lowest polymorph of the same formula: 0.000 eV/atom
* total moment: 0.00 μB per formula unit
* theoretical density: 8.151 g/cm³

abc: 3.286 3.286 8.398
angles: 90.00 90.00 90.00
Space group P4/mmm (No. 123)
Asymmetric unit:
1 Tm 0.000 0.000 0.000 x1
2 Sc 0.500 0.500 0.316 x2
3 Re 0.000 0.000 0.500 x1

***

[2]
Material: TmScRe4
Method: DFT, GGA-PBE
State: relaxed

Results
* electronic total energy: -10.363 eV/atom
* total moment: 0.00 μB per formula unit
* theoretical density: 14.832 g/cm³

abc: 7.544 7.544 7.544
angles: 90.00 90.00 90.00
Space group F-43m (No. 216)
Asymmetric unit:
1 Tm 0.000 0.000 0.000 x4
2 Sc 0.250 0.250 0.250 x4
3 Re 0.125 0.125 0.625 x16

***

[3]
Material: TmSc2Re
Method: DFT, GGA-PBE
State: relaxed

Results
* electronic total energy: -6.816 eV/atom
* distance to the lowest polymorph of the same formula: 0.563 eV/atom
* total moment: 0.00 μB per formula unit
* theoretical density: 8.491 g/cm³

abc: 3.0636 3.0636 32.1237
angles: 90.00 90.00 120.00
Space group R-3m (No. 166, hexagonal axes)
Asymmetric unit:
1 Tm 0.0000 0.0000 0.0000 x3
2 Sc 0.0000 0.0000 0.4206 x6
3 Re 0.0000 0.0000 0.5000 x3

***

[4]
Material: ScURe2
Method: DFT, GGA-PBE
State: relaxed

Results
* electronic total energy: -10.650 eV/atom
* total moment: 0.01 μB per formula unit
* theoretical density: 14.989 g/cm³

abc: 4.688 4.688 3.304
angles: 90.00 90.00 90.00
Space group P4/mmm (No. 123)
Asymmetric unit:
1 Sc 0.000 0.000 0.000 x1
2 U 0.500 0.500 0.000 x1
3 Re 0.000 0.500 0.500 x2

***

[5]
Material: ScVRe3
Method: DFT, GGA-PBE
State: relaxed

Results
* electronic total energy: -9.475 eV/atom
* distance to the lowest polymorph of the same formula: 0.000 eV/atom
* total moment: 0.00 μB per formula unit
* theoretical density: 11.730 g/cm³

abc: 4.525 4.525 4.525
angles: 90.00 90.00 90.00
Space group Pm-3m (No. 221)
Asymmetric unit:
1 Sc 0.000 0.000 0.000 x1
2 V 0.500 0.500 0.500 x1
3 Re 0.000 0.500 0.500 x3

***

[6]
Material: ScVRe
Method: DFT, GGA-PBE
State: relaxed

Results
* electronic total energy: -9.334 eV/atom
* distance to the lowest polymorph of the same formula: 0.173 eV/atom
* total moment: 0.00 μB per formula unit
* theoretical density: 9.710 g/cm³

abc: 4.4357 4.4357 2.8313
angles: 90.00 90.00 120.00
Space group P3m1 (No. 156)
Asymmetric unit:
1 Sc 0.0000 0.0000 0.0000 x1
2 V 0.3333 0.6667 0.3824 x1
3 Re 0.6667 0.3333 0.6355 x1

***

[7]
Material: ScV3Re
Method: DFT, GGA-PBE
State: relaxed

Results
* electronic total energy: -7.447 eV/atom
* distance to the lowest polymorph of the same formula: 0.930 eV/atom
* total moment: 0.00 μB per formula unit
* theoretical density: 8.075 g/cm³

abc: 4.290 4.290 4.290
angles: 90.00 90.00 90.00
Space group Pm-3m (No. 221)
Asymmetric unit:
1 Sc 0.000 0.000 0.000 x1
2 V 0.000 0.000 0.500 x3
3 Re 0.500 0.500 0.500 x1

***

[8]
Material: ScVRe2
Method: DFT, GGA-PBE
State: relaxed

Results
* electronic total energy: -10.210 eV/atom
* total moment: 0.00 μB per formula unit
* theoretical density: 12.397 g/cm³

abc: 3.093 3.093 6.559
angles: 90.00 90.00 90.00
Space group P4/mmm (No. 123)
Asymmetric unit:
1 Sc 0.000 0.000 0.000 x1
2 V 0.000 0.000 0.500 x1
3 Re 0.500 0.500 0.279 x2

***

[9]
Material: Sc2VRe
Method: DFT, GGA-PBE
State: relaxed

Results
* electronic total energy: -7.896 eV/atom
* distance to the lowest polymorph of the same formula: 0.501 eV/atom
* total moment: 2.46 μB per formula unit
* theoretical density: 7.229 g/cm³

abc: 7.372 7.372 5.530
angles: 90.00 90.00 90.00
Space group I-42d (No. 122)
Asymmetric unit:
1 Sc 0.245 0.250 0.125 x8
2 V 0.000 0.000 0.500 x4
3 Re 0.000 0.000 0.000 x4

***

[10]
Material: ScV3Re
Method: DFT, GGA-PBE
State: relaxed

Results
* electronic total energy: -8.377 eV/atom
* distance to the lowest polymorph of the same formula: 0.000 eV/atom
* total moment: 1.21 μB per formula unit
* theoretical density: 6.477 g/cm³

abc: 4.617 4.617 4.617
angles: 90.00 90.00 90.00
Space group Pm-3m (No. 221)
Asymmetric unit:
1 Sc 0.000 0.000 0.000 x1
2 V 0.000 0.500 0.500 x3
3 Re 0.500 0.500 0.500 x1

***

[11]
Material: Sc2VRe
Method: DFT, GGA-PBE
State: relaxed

Results
* electronic total energy: -8.397 eV/atom
* distance to the lowest polymorph of the same formula: 0.000 eV/atom
* total moment: 3.70 μB per formula unit
* theoretical density: 7.543 g/cm³

abc: 6.604 6.604 6.604
angles: 90.00 90.00 90.00
Space group Fm-3m (No. 225)
Asymmetric unit:
1 Sc 0.250 0.250 0.250 x8
2 V 0.000 0.000 0.000 x4
3 Re 0.000 0.000 0.500 x4

***

[12]
Material: ScVRe
Method: DFT, GGA-PBE
State: relaxed

Results
* electronic total energy: -9.507 eV/atom
* distance to the lowest polymorph of the same formula: 0.000 eV/atom
* total moment: 0.00 μB per formula unit
* theoretical density: 9.239 g/cm³

abc: 5.235 5.259 7.367
angles: 90.00 90.00 90.00
Space group Imma (No. 74)
Asymmetric unit:
1 Sc 0.000 0.250 0.127 x4
2 V 0.250 0.250 0.750 x4
3 Re 0.000 0.000 0.500 x4

***

Look up the electronic total energy of the sixth one.
-9.334 eV/atom

***

Look up the theoretical density of the fourth one.
14.989 g/cm³